Sc2ZnBr: relaxed, PBE-GGA.

Unit cell a=4.8827 b=4.8827 c=4.8827 alpha=60.00 beta=60.00 gamma=60.00
Atoms (fractional coordinates):
Sc 0.2500 0.2500 0.2500
Sc 0.7500 0.7500 0.7500
Zn 0.0000 0.0000 0.0000
Br 0.5000 0.5000 0.5000

Properties
- SG = Fm-3m (225)
- DFT total energy (Ry/atom) = -0.3059
- formation energy (no corrections) (eV/atom) = -0.259
- volume (Å³/cell) = 82